[1]
Material: Sr2ZrScAs4
Method: DFT, PBE-GGA
State: optimized geometry

abc: 7.0650 4.0688 7.4508
angles: 90.00 108.35 90.00
Space group P2/m (No. 10)
Inequivalent atoms, fractional coordinates:
Sr (0.0000, 0.0000, 0.0000)
Sr (0.5000, 0.5000, 0.0000)
Zr (0.0000, 0.5000, 0.5000)
Sc (0.5000, 0.0000, 0.5000)
As (0.2356, 0.0000, 0.7114)
As (0.2615, 0.5000, 0.2902)

Values from the calculation:
magnetic moment	0.0	Bohr magnetons per cell
volume	25.411	A^3/atom
E_form	-1.1360	eV per atom
VASP energy	-5.74	eV per atom


[2]
Material: Sr3ZrSc2As6
Method: DFT, PBE-GGA
State: optimized geometry

abc: 7.0843 12.2517 7.4282
angles: 90.00 108.43 90.00
Space group C2/m (No. 12)
Inequivalent atoms, fractional coordinates:
Sr (0.0000, 0.0000, 0.0000)
Sr (0.0000, 0.3330, 0.0000)
Zr (0.0000, 0.5000, 0.5000)
Sc (0.0000, 0.1665, 0.5000)
As (0.2355, 0.3342, 0.7093)
As (0.2383, 0.0000, 0.7093)

Values from the calculation:
magnetic moment	0.0	Bohr magnetons per cell
volume	25.486	A^3/atom
E_form	-1.1246	eV per atom
VASP energy	-5.64	eV per atom


[3]
Material: ScTa2As
Method: DFT, PBE-GGA
State: optimized geometry

abc: 7.9250 7.9250 5.2016
angles: 90.00 90.00 90.00
Space group I-42d (No. 122)
Inequivalent atoms, fractional coordinates:
Sc (0.0000, 0.0000, 0.0000)
Ta (0.1909, 0.7500, 0.6250)
As (0.0000, 0.0000, 0.5000)

Values from the calculation:
magnetic moment	0.0	Bohr magnetons per cell
volume	20.418	A^3/atom
E_form	0.1601	eV per atom
VASP energy	-8.51	eV per atom


[4]
Material: Sc3TaAs
Method: DFT, PBE-GGA
State: optimized geometry

abc: 4.9569 4.9569 4.9569
angles: 90.00 90.00 90.00
Space group Pm-3m (No. 221)
Inequivalent atoms, fractional coordinates:
Sc (0.0000, 0.0000, 0.5000)
Ta (0.5000, 0.5000, 0.5000)
As (0.0000, 0.0000, 0.0000)

Values from the calculation:
magnetic moment	0.0	Bohr magnetons per cell
volume	24.360	A^3/atom
energy relative to the lowest polymorph listed for this composition	0.0	kJ/mol of atoms
E_form	0.2560	eV per atom
VASP energy	-6.84	eV per atom


[5]
Material: ScTa2As2
Method: DFT, PBE-GGA
State: optimized geometry

abc: 7.2367 7.2367 3.3743
angles: 90.00 90.00 90.00
Space group P4/mbm (No. 127)
Inequivalent atoms, fractional coordinates:
Sc (0.0000, 0.0000, 0.0000)
Ta (0.1450, 0.3550, 0.5000)
As (0.1475, 0.6475, 0.0000)

Values from the calculation:
magnetic moment	0.0	Bohr magnetons per cell
volume	17.671	A^3/atom
E_form	-0.4799	eV per atom
VASP energy	-8.35	eV per atom


[6]
Material: ScTa2As
Method: DFT, PBE-GGA
State: optimized geometry

abc: 3.5544 4.8414 8.7314
angles: 90.00 90.00 90.00
Space group Cmmm (No. 65)
Inequivalent atoms, fractional coordinates:
Sc (0.0000, 0.0000, 0.0000)
Ta (0.0000, 0.5000, 0.2777)
As (0.0000, 0.0000, 0.5000)

Values from the calculation:
magnetic moment	0.0	Bohr magnetons per cell
volume	18.781	A^3/atom
E_form	-0.0123	eV per atom
VASP energy	-8.68	eV per atom


[7]
Material: ScTa2As
Method: DFT, PBE-GGA
State: optimized geometry

abc: 4.1369 4.1369 8.4716
angles: 90.00 90.00 90.00
Space group I-4m2 (No. 119)
Inequivalent atoms, fractional coordinates:
Sc (0.0000, 0.0000, 0.0000)
Ta (0.0000, 0.0000, 0.5000)
Ta (0.0000, 0.5000, 0.7500)
As (0.0000, 0.5000, 0.2500)

Values from the calculation:
magnetic moment	0.0	Bohr magnetons per cell
volume	18.123	A^3/atom
E_form	-0.0516	eV per atom
VASP energy	-8.72	eV per atom


[8]
Material: ScTa4As
Method: DFT, PBE-GGA
State: optimized geometry

abc: 7.8472 7.8472 7.8472
angles: 90.00 90.00 90.00
Space group F-43m (No. 216)
Inequivalent atoms, fractional coordinates:
Sc (0.0000, 0.0000, 0.0000)
Ta (0.1272, 0.1272, 0.6272)
As (0.2500, 0.2500, 0.2500)

Values from the calculation:
magnetic moment	0.0	Bohr magnetons per cell
volume	20.134	A^3/atom
E_form	0.3703	eV per atom
VASP energy	-9.36	eV per atom


[9]
Material: ScTa2As
Method: DFT, PBE-GGA
State: optimized geometry

abc: 9.8794 3.2973 4.6915
angles: 90.00 105.51 90.00
Space group C2/m (No. 12)
Inequivalent atoms, fractional coordinates:
Sc (0.0000, 0.0000, 0.0000)
Ta (0.2360, 0.0000, 0.7310)
As (0.0000, 0.5000, 0.5000)

Values from the calculation:
magnetic moment	0.0	Bohr magnetons per cell
volume	18.407	A^3/atom
E_form	-0.1482	eV per atom
VASP energy	-8.82	eV per atom


[10]
Material: ScTa2As
Method: DFT, PBE-GGA
State: optimized geometry

abc: 3.9573 3.9573 4.6036
angles: 90.00 90.00 90.00
Space group P4/mmm (No. 123)
Inequivalent atoms, fractional coordinates:
Sc (0.0000, 0.0000, 0.0000)
Ta (0.0000, 0.5000, 0.5000)
As (0.5000, 0.5000, 0.0000)

Values from the calculation:
magnetic moment	0.0	Bohr magnetons per cell
volume	18.023	A^3/atom
E_form	-0.1721	eV per atom
VASP energy	-8.84	eV per atom


[11]
Material: ScTa2As
Method: DFT, PBE-GGA
State: optimized geometry

abc: 3.0298 4.8577 5.1150
angles: 90.00 95.71 90.00
Space group P2/m (No. 10)
Inequivalent atoms, fractional coordinates:
Sc (0.0000, 0.0000, 0.0000)
Ta (0.3473, 0.5000, 0.7539)
As (0.5000, 0.0000, 0.5000)

Values from the calculation:
magnetic moment	0.0	Bohr magnetons per cell
volume	18.727	A^3/atom
E_form	-0.0678	eV per atom
VASP energy	-8.74	eV per atom


[12]
Material: ScTa2As
Method: DFT, PBE-GGA
State: optimized geometry

abc: 3.2128 3.2128 25.9066
angles: 90.00 90.00 120.00
Space group R-3m (No. 166, hexagonal axes)
Inequivalent atoms, fractional coordinates:
Sc (0.0000, 0.0000, 0.0000)
Ta (0.0000, 0.0000, 0.2393)
As (0.0000, 0.0000, 0.5000)

Values from the calculation:
magnetic moment	0.0	Bohr magnetons per cell
volume	19.299	A^3/atom
E_form	0.0515	eV per atom
VASP energy	-8.62	eV per atom


[13]
Material: ScTa2As
Method: DFT, PBE-GGA
State: optimized geometry

abc: 3.4684 4.2409 5.4033
angles: 90.00 108.64 90.00
Space group Pm (No. 6)
Inequivalent atoms, fractional coordinates:
Sc (0.0000, 0.0000, 0.0000)
Ta (0.2694, 0.0000, 0.5356)
Ta (0.7180, 0.5000, 0.4333)
As (0.4398, 0.5000, 0.8777)

Values from the calculation:
magnetic moment	0.0	Bohr magnetons per cell
volume	18.827	A^3/atom
E_form	-0.2756	eV per atom
VASP energy	-8.95	eV per atom


[14]
Material: ScTa2As
Method: DFT, PBE-GGA
State: optimized geometry

abc: 3.2723 3.2723 25.1409
angles: 90.00 90.00 120.00
Space group R3m (No. 160, hexagonal axes)
Inequivalent atoms, fractional coordinates:
Sc (0.0000, 0.0000, 0.0000)
Ta (0.0000, 0.0000, 0.5144)
Ta (0.0000, 0.0000, 0.7621)
As (0.0000, 0.0000, 0.2526)

Values from the calculation:
magnetic moment	0.0	Bohr magnetons per cell
volume	19.428	A^3/atom
E_form	-0.1371	eV per atom
VASP energy	-8.81	eV per atom


[15]
Material: ScTa2As
Method: DFT, PBE-GGA
State: optimized geometry

abc: 3.4424 3.4424 6.1944
angles: 90.00 90.00 90.00
Space group P4/mmm (No. 123)
Inequivalent atoms, fractional coordinates:
Sc (0.0000, 0.0000, 0.0000)
Ta (0.5000, 0.5000, 0.2880)
As (0.0000, 0.0000, 0.5000)

Values from the calculation:
magnetic moment	0.0	Bohr magnetons per cell
volume	18.351	A^3/atom
E_form	-0.0977	eV per atom
VASP energy	-8.77	eV per atom


[16]
Material: ScTa2As
Method: DFT, PBE-GGA
State: optimized geometry

abc: 6.5921 6.5921 6.5921
angles: 90.00 90.00 90.00
Space group F-43m (No. 216)
Inequivalent atoms, fractional coordinates:
Sc (0.0000, 0.0000, 0.0000)
Ta (0.0000, 0.0000, 0.5000)
Ta (0.2500, 0.2500, 0.2500)
As (0.2500, 0.2500, 0.7500)

Values from the calculation:
magnetic moment	0.0	Bohr magnetons per cell
volume	17.904	A^3/atom
E_form	-0.0313	eV per atom
VASP energy	-8.70	eV per atom


[17]
Material: ScTa2As
Method: DFT, PBE-GGA
State: optimized geometry

abc: 3.6027 4.9013 8.4873
angles: 90.00 90.00 90.00
Space group Cmm2 (No. 35)
Inequivalent atoms, fractional coordinates:
Sc (0.0000, 0.0000, 0.0000)
Ta (0.0000, 0.0000, 0.5288)
Ta (0.0000, 0.5000, 0.2765)
As (0.0000, 0.5000, 0.7558)

Values from the calculation:
magnetic moment	0.0	Bohr magnetons per cell
volume	18.734	A^3/atom
E_form	-0.1860	eV per atom
VASP energy	-8.86	eV per atom


[18]
Material: Sc3TaAs
Method: DFT, PBE-GGA
State: optimized geometry

abc: 5.0602 5.0602 5.0602
angles: 90.00 90.00 90.00
Space group Pm-3m (No. 221)
Inequivalent atoms, fractional coordinates:
Sc (0.0000, 0.0000, 0.5000)
Ta (0.0000, 0.0000, 0.0000)
As (0.5000, 0.5000, 0.5000)

Values from the calculation:
magnetic moment	0.0	Bohr magnetons per cell
volume	25.914	A^3/atom
energy relative to the lowest polymorph listed for this composition	38.9	kJ/mol of atoms
E_form	0.6596	eV per atom
VASP energy	-6.44	eV per atom


[19]
Material: ScTa2As
Method: DFT, PBE-GGA
State: optimized geometry

abc: 3.9274 3.9274 9.4940
angles: 90.00 90.00 90.00
Space group I4/mmm (No. 139)
Inequivalent atoms, fractional coordinates:
Sc (0.0000, 0.0000, 0.0000)
Ta (0.0000, 0.5000, 0.2500)
As (0.0000, 0.0000, 0.5000)

Values from the calculation:
magnetic moment	0.0	Bohr magnetons per cell
volume	18.305	A^3/atom
E_form	-0.1017	eV per atom
VASP energy	-8.77	eV per atom


[20]
Material: ScTa2As
Method: DFT, PBE-GGA
State: optimized geometry

abc: 9.2141 3.3239 4.9382
angles: 90.00 104.68 90.00
Space group Cm (No. 8)
Inequivalent atoms, fractional coordinates:
Sc (0.0000, 0.0000, 0.0000)
Ta (0.2327, 0.0000, 0.7189)
Ta (0.4720, 0.0000, 0.4618)
As (0.2415, 0.5000, 0.2408)

Values from the calculation:
magnetic moment	0.0	Bohr magnetons per cell
volume	18.288	A^3/atom
E_form	-0.1288	eV per atom
VASP energy	-8.80	eV per atom


[21]
Material: ScTa2As
Method: DFT, PBE-GGA
State: optimized geometry

abc: 3.4434 3.4434 6.1237
angles: 90.00 90.00 90.00
Space group P4mm (No. 99)
Inequivalent atoms, fractional coordinates:
Sc (0.0000, 0.0000, 0.0000)
Ta (0.0000, 0.0000, 0.5177)
Ta (0.5000, 0.5000, 0.2719)
As (0.5000, 0.5000, 0.7490)

Values from the calculation:
magnetic moment	0.0	Bohr magnetons per cell
volume	18.152	A^3/atom
E_form	-0.3031	eV per atom
VASP energy	-8.97	eV per atom


[22]
Material: ScTa2As
Method: DFT, PBE-GGA
State: optimized geometry

abc: 5.6698 7.7113 3.3092
angles: 90.00 90.00 90.00
Space group Cmmm (No. 65)
Inequivalent atoms, fractional coordinates:
Sc (0.0000, 0.0000, 0.0000)
Ta (0.2500, 0.2500, 0.5000)
As (0.0000, 0.5000, 0.0000)

Values from the calculation:
magnetic moment	0.0	Bohr magnetons per cell
volume	18.085	A^3/atom
E_form	0.0197	eV per atom
VASP energy	-8.65	eV per atom


[23]
Material: ScTaTcAs2
Method: DFT, PBE-GGA
State: optimized geometry

abc: 4.7681 4.7681 4.8788
angles: 90.00 90.00 90.00
Space group P4/mmm (No. 123)
Inequivalent atoms, fractional coordinates:
Sc (0.0000, 0.0000, 0.0000)
Ta (0.5000, 0.5000, 0.0000)
Tc (0.5000, 0.5000, 0.5000)
As (0.0000, 0.5000, 0.5000)

Values from the calculation:
magnetic moment	0.0	Bohr magnetons per cell
volume	22.184	A^3/atom
energy relative to the lowest polymorph listed for this composition	0.0	kJ/mol of atoms
E_form	0.5711	eV per atom
VASP energy	-7.00	eV per atom


[24]
Material: ScTaTcAs2
Method: DFT, PBE-GGA
State: optimized geometry

abc: 4.7615 4.7615 4.8277
angles: 90.00 90.00 90.00
Space group P4/mmm (No. 123)
Inequivalent atoms, fractional coordinates:
Sc (0.0000, 0.0000, 0.0000)
Ta (0.5000, 0.5000, 0.0000)
Tc (0.0000, 0.0000, 0.5000)
As (0.0000, 0.5000, 0.5000)

Values from the calculation:
magnetic moment	2.7	Bohr magnetons per cell
volume	21.891	A^3/atom
energy relative to the lowest polymorph listed for this composition	22.1	kJ/mol of atoms
E_form	0.8002	eV per atom
VASP energy	-6.77	eV per atom


[25]
Material: ScTa2TeAs
Method: DFT, PBE-GGA
State: optimized geometry

abc: 5.0101 5.0101 5.2778
angles: 90.00 90.00 90.00
Space group P4/mmm (No. 123)
Inequivalent atoms, fractional coordinates:
Sc (0.0000, 0.0000, 0.0000)
Ta (0.0000, 0.5000, 0.5000)
Te (0.0000, 0.0000, 0.5000)
As (0.5000, 0.5000, 0.0000)

Values from the calculation:
magnetic moment	0.0	Bohr magnetons per cell
volume	26.496	A^3/atom
ΔE_f (raw)	645.5	kJ/mol of formula units
VASP energy	-6.23	eV per atom


[26]
Material: Tb5Sc3As8
Method: DFT, PBE-GGA
State: optimized geometry

abc: 8.0961 8.0961 19.8013
angles: 90.00 90.00 120.00
Space group R-3m (No. 166, hexagonal axes)
Inequivalent atoms, fractional coordinates:
Tb (0.0000, 0.0000, 0.0000)
Tb (0.0000, 0.0000, 0.5000)
Tb (0.0000, 0.5000, 0.0000)
Sc (0.0000, 0.5000, 0.5000)
As (0.0000, 0.0000, 0.2448)
As (0.0071, 0.5035, 0.7535)

Values from the calculation:
magnetic moment	0.0	Bohr magnetons per cell
volume	23.417	A^3/atom
E_form	-1.4597	eV per atom
VASP energy	-6.42	eV per atom


[27]
Material: Tb3ScAs4
Method: DFT, PBE-GGA
State: optimized geometry

abc: 7.0596 8.1682 7.0645
angles: 90.00 109.51 90.00
Space group P2/c (No. 13)
Inequivalent atoms, fractional coordinates:
Tb (0.0000, 0.1240, 0.2500)
Tb (0.0000, 0.3734, 0.7500)
Tb (0.5000, 0.3736, 0.2500)
Sc (0.5000, 0.1238, 0.7500)
As (0.2549, 0.3696, 0.5056)
As (0.2609, 0.1191, 0.9997)

Values from the calculation:
magnetic moment	0.0	Bohr magnetons per cell
volume	23.998	A^3/atom
E_form	-1.4829	eV per atom
VASP energy	-6.34	eV per atom